No. 1
# ScFeAs2Se

A relaxed ScFeAs2Se crystal (PBE, the Alexandria database).

a b c (Å): 5.0870 5.0870 5.0361
angles (deg): 90.00 90.00 90.00
With the nearest neighbours (Å) after each atom.
Fractional coordinates of all 5 atoms:
Sc 0.0000 0.0000 0.0000  2 Se 2.52, 4 As 2.54
Fe 0.5000 0.5000 0.5000  8 As 3.58, 4 Se 3.60
As 0.0000 0.5000 0.0000  2 Sc 2.54
As 0.5000 0.0000 0.0000  2 Sc 2.54
Se 0.0000 0.0000 0.5000  2 Sc 2.52

Summary:
- Density: 4200 kg/m3
- E_tot: -24.9 eV per cell

No. 2
# NaCa2SbH

A relaxed NaCa2SbH crystal (PBE, the Alexandria database).

a b c (Å): 4.9356 4.9356 4.6481
angles (deg): 90.00 90.00 90.00
With the nearest neighbours (Å) after each atom.
Fractional coordinates of all 5 atoms:
Na 0.0000 0.0000 0.0000  2 H 2.32
Ca 0.0000 0.5000 0.5000  2 H 2.47
Ca 0.5000 0.0000 0.5000  2 H 2.47
Sb 0.5000 0.5000 0.0000  8 Ca 3.39, 4 Na 3.49
H 0.0000 0.0000 0.5000  2 Na 2.32, 4 Ca 2.47

Summary:
- Density: 3313 kg/m3
- E_tot: -15.6 eV per cell

No. 3
# SmPPd2

A relaxed SmPPd2 crystal (PBE, the Alexandria database).

a b c (Å): 8.3040 8.3040 8.8666
angles (deg): 90.00 90.00 150.86
With the nearest neighbours (Å) after each atom.
Fractional coordinates of all 16 atoms:
Sm 0.0000 0.0000 0.0000  4 P 3.06, 6 Pd 3.21-3.32
Sm 0.0000 0.0000 0.5000  4 P 3.06, 6 Pd 3.21-3.32
Sm 0.1993 0.8007 0.7500  9 Pd 2.90-3.15, 4 P 3.12
Sm 0.8007 0.1993 0.2500  9 Pd 2.90-3.15, 4 P 3.12
P 0.3613 0.6387 0.0129  5 Pd 2.39-2.62
P 0.3613 0.6387 0.4871  5 Pd 2.39-2.62
P 0.6387 0.3613 0.5129  5 Pd 2.39-2.62
P 0.6387 0.3613 0.9871  5 Pd 2.39-2.62
Pd 0.2021 0.7979 0.0768  3 P 2.46-2.62
Pd 0.2021 0.7979 0.4232  3 P 2.46-2.62
Pd 0.3955 0.6045 0.7500  2 P 2.39
Pd 0.4360 0.5640 0.2500  2 P 2.42, 1 Pd 2.71
Pd 0.5640 0.4360 0.7500  2 P 2.42, 1 Pd 2.71
Pd 0.6045 0.3955 0.2500  2 P 2.39
Pd 0.7979 0.2021 0.5768  3 P 2.46-2.62
Pd 0.7979 0.2021 0.9232  3 P 2.46-2.62

Summary:
- Calculated formation energy: -3.7 eV/f.u.
- Density: 8794 kg/m3
- E_tot: -97.0 eV per cell

The highest density belongs to which entry?
SmPPd2